# 1
An optimized crystal structure of Ba3UCu2Se9. Source: Alexandria, functional PBE.

abc: 7.227 7.227 9.002
angles: 90.00 90.00 120.00
Fractional positions:
Ba  0.000  0.000  0.000
Ba  0.333  0.667  0.691
Ba  0.667  0.333  0.309
U  0.000  0.000  0.500
Cu  0.333  0.667  0.155
Cu  0.667  0.333  0.845
Se  0.000  0.500  0.000
Se  0.173  0.347  0.329
Se  0.173  0.827  0.329
Se  0.347  0.173  0.671
Se  0.500  0.000  0.000
Se  0.500  0.500  0.000
Se  0.653  0.827  0.329
Se  0.827  0.173  0.671
Se  0.827  0.653  0.671

Properties
Its volume is 407 Å³/f.u. The density of states at the Fermi level is 8.67 states/eV per cell. The raw formation energy is -1032 meV/atom. Its crystal system is trigonal. The total energy is -72.1 eV/cell.

***

# 2
An optimized crystal structure of Er2Al3SiPt4. Source: Alexandria, functional PBE.

abc: 4.119 4.119 10.579
angles: 90.00 90.00 90.00
Fractional positions:
Er  0.000  0.500  0.241
Er  0.500  0.000  0.759
Al  0.000  0.000  0.000
Al  0.000  0.500  0.636
Al  0.500  0.000  0.364
Si  0.500  0.500  0.000
Pt  0.000  0.000  0.500
Pt  0.000  0.500  0.867
Pt  0.500  0.000  0.133
Pt  0.500  0.500  0.500

Properties
Its volume is 179 Å³/f.u. The density of states at the Fermi level is 3.04 states/eV per cell. The raw formation energy is -1106 meV/atom. Its crystal system is tetragonal. The total energy is -61.0 eV/cell.

***

# 3
An optimized crystal structure of Cs4AcTh3Se8. Source: Alexandria, functional PBE.

abc: 9.887 9.887 9.887
angles: 52.68 52.68 52.68
Fractional positions:
Cs  0.000  0.000  0.000
Cs  0.000  0.500  0.500
Cs  0.500  0.000  0.500
Cs  0.500  0.500  0.000
Ac  0.500  0.500  0.500
Th  0.000  0.000  0.500
Th  0.000  0.500  0.000
Th  0.500  0.000  0.000
Se  0.218  0.739  0.739
Se  0.231  0.231  0.231
Se  0.261  0.261  0.782
Se  0.261  0.782  0.261
Se  0.739  0.218  0.739
Se  0.739  0.739  0.218
Se  0.769  0.769  0.769
Se  0.782  0.261  0.261

Properties
Its volume is 566 Å³/f.u. The density of states at the Fermi level is 10.79 states/eV per cell. The raw formation energy is -1576 meV/atom. Its crystal system is trigonal. The total energy is -82.9 eV/cell.

***

# 4
An optimized crystal structure of Li2LaAlAu4. Source: Alexandria, functional PBE.

abc: 9.256 9.256 9.256
angles: 27.99 27.99 27.99
Fractional positions:
Li  0.236  0.236  0.236
Li  0.764  0.764  0.764
La  0.000  0.000  0.000
Al  0.500  0.500  0.500
Au  0.132  0.132  0.132
Au  0.401  0.401  0.401
Au  0.599  0.599  0.599
Au  0.868  0.868  0.868

Properties
Its volume is 154 Å³/f.u. For the formation energy, the calculation gives -0.630 eV/atom. The density of states at the Fermi level is 3.51 states/eV per cell. Its crystal system is trigonal. The total energy is -30.6 eV/cell.

***

# 5
An optimized crystal structure of NiP2S6. Source: Alexandria, functional PBE.

abc: 7.998 7.998 5.917
angles: 102.95 102.95 85.64
Fractional positions:
Ni  0.120  0.880  0.750
Ni  0.880  0.120  0.250
P  0.203  0.382  0.706
P  0.382  0.203  0.206
P  0.618  0.797  0.794
P  0.797  0.618  0.294
S  0.032  0.181  0.626
S  0.125  0.614  0.864
S  0.181  0.032  0.126
S  0.296  0.433  0.423
S  0.386  0.875  0.636
S  0.433  0.296  0.923
S  0.567  0.704  0.077
S  0.614  0.125  0.364
S  0.704  0.567  0.577
S  0.819  0.968  0.874
S  0.875  0.386  0.136
S  0.968  0.819  0.374

Properties
Its volume is 180 Å³/f.u. The density of states at the Fermi level is 5.96 states/eV per cell. The raw formation energy is -57 meV/atom. Its crystal system is monoclinic. The total energy is -83.8 eV/cell.

***

# 6
An optimized crystal structure of ZnSnI2N. Source: Alexandria, functional PBE.

abc: 5.962 5.962 3.796
angles: 90.00 90.00 90.00
Fractional positions:
Zn  0.000  0.000  0.000
Sn  0.500  0.500  0.500
I  0.000  0.500  0.000
I  0.500  0.000  0.000
N  0.000  0.000  0.500

Properties
Its volume is 135 Å³/f.u. The density of states at the Fermi level is 2.02 states/eV per cell. The raw formation energy is 462 meV/atom. Its crystal system is tetragonal. The total energy is -14.4 eV/cell.

***

# 7
An optimized crystal structure of Be2OsCSe. Source: Alexandria, functional PBE.

abc: 4.407 4.407 4.538
angles: 90.00 90.00 90.00
Fractional positions:
Be  0.000  0.500  0.000
Be  0.500  0.000  0.000
Os  0.000  0.000  0.000
C  0.500  0.500  0.500
Se  0.000  0.000  0.500

Properties
Its volume is 88 Å³/f.u. The density of states at the Fermi level is 3.10 states/eV per cell. The raw formation energy is 1843 meV/atom. Its crystal system is tetragonal. The total energy is -22.2 eV/cell.

***

# 8
An optimized crystal structure of NiRuBr2. Source: Alexandria, functional PBE.

abc: 5.044 5.044 3.198
angles: 90.33 90.33 99.10
Fractional positions:
Ni  0.000  0.000  0.000
Ru  0.500  0.500  0.000
Br  0.000  0.500  0.000
Br  0.500  0.000  0.000

Properties
Its volume is 80 Å³/f.u. The density of states at the Fermi level is 6.05 states/eV per cell. The raw formation energy is 749 meV/atom. Its crystal system is monoclinic. The total energy is -15.4 eV/cell.